# Na2Co3RhF12

An optimized crystal structure of Na2Co3RhF12 (GGA+U, Alexandria).

a = 6.9854 Å, b = 6.9854 Å, c = 6.9854 Å
α = 64.13°, β = 64.13°, γ = 64.13°
Fractional positions:
Na: 0.1519 0.1519 0.1519
Na: 0.8481 0.8481 0.8481
Co: 0.0000 0.5000 0.5000
Co: 0.5000 0.0000 0.5000
Co: 0.5000 0.5000 0.0000
Rh: 0.5000 0.5000 0.5000
F: 0.1085 0.6220 0.6220
F: 0.2139 0.2139 0.5986
F: 0.2139 0.5986 0.2139
F: 0.3780 0.3780 0.8915
F: 0.3780 0.8915 0.3780
F: 0.4014 0.7861 0.7861
F: 0.5986 0.2139 0.2139
F: 0.6220 0.1085 0.6220
F: 0.6220 0.6220 0.1085
F: 0.7861 0.4014 0.7861
F: 0.7861 0.7861 0.4014
F: 0.8915 0.3780 0.3780

Summary:
VASP energy   -4.579 eV/atom